The following is a PBE-GGA calculation of a geometry-optimized ZrTaSe2 structure, from Alexandria via LeMat-Bulk.

Space-group type: Pmm2
Energy, eV/atom: -7.470
Formation energy from raw total energies, eV per atom: -0.63

a = 5.0422 Å, b = 3.3892 Å, c = 4.4933 Å
α = 89.99°, β = 90.00°, γ = 90.00°
Sites, in units of the cell vectors:
Ta1 0.0000 0.3752 0.4884
Se1 0.0000 0.8748 0.9578
Se2 0.5000 0.3751 0.2897
Zr1 0.5000 0.8750 0.7641